No. 1
First-principles (PBE-GGA) data for TaNiOsRu after structural relaxation, as listed in the Alexandria database.

abc: 6.143 6.143 6.143
angles: 90.00 90.00 90.00
Space group F-43m (No. 216)
Symmetry-distinct sites (fractional):
Ta 0.000 0.000 0.000 x4
Ni 0.000 0.000 0.500 x4
Os 0.250 0.250 0.750 x4
Ru 0.250 0.250 0.250 x4

Calculated values
Energy above the lowest structure with this stoichiometry (eV per formula unit): 0.79
Calculated total energy (eV per atom): -9.58
Energy relative to the elements (meV per atom): -41.5
DOS(E_F) (states/eV per cell): 16.69

***

No. 2
First-principles (PBE-GGA) data for TaNiOsRu after structural relaxation, as listed in the Alexandria database.

abc: 3.781 3.874 3.884
angles: 90.00 90.00 90.00
Space group Pmmm (No. 47)
Symmetry-distinct sites (fractional):
Ta 0.000 0.000 0.000 x1
Ni 0.000 0.500 0.500 x1
Os 0.500 0.000 0.500 x1
Ru 0.500 0.500 0.000 x1

Calculated values
Energy above the lowest structure with this stoichiometry (eV per formula unit): 0.00
Calculated total energy (eV per atom): -9.77
Energy relative to the elements (meV per atom): -239.6
DOS(E_F) (states/eV per cell): 3.40

***

No. 3
First-principles (PBE-GGA) data for VNiOsRu2 after structural relaxation, as listed in the Alexandria database.

abc: 4.623 4.623 4.463
angles: 90.00 90.00 90.00
Space group P4/mmm (No. 123)
Symmetry-distinct sites (fractional):
V 0.000 0.000 0.000 x1
Ni 0.500 0.500 0.000 x1
Os 0.500 0.500 0.500 x1
Ru 0.000 0.500 0.500 x2

Calculated values
Calculated total energy (eV per atom): -7.18
Energy relative to the elements (meV per atom): 1757.3
DOS(E_F) (states/eV per cell): 10.50

***

No. 4
First-principles (PBE-GGA) data for NiOsS3 after structural relaxation, as listed in the Alexandria database.

abc: 4.587 4.587 4.587
angles: 90.00 90.00 90.00
Space group Pm-3m (No. 221)
Symmetry-distinct sites (fractional):
Ni 0.000 0.000 0.000 x1
Os 0.500 0.500 0.500 x1
S 0.000 0.500 0.500 x3

Calculated values
Energy above the lowest structure with this stoichiometry (eV per formula unit): 0.00
Calculated total energy (eV per atom): -4.91
Raw formation energy (eV per formula unit): 4.8
DOS(E_F) (states/eV per cell): 9.95